A | # NaZr2IO

An optimized crystal structure of NaZr2IO (PBE-GGA, Alexandria).

```
NaZr2IO
1.0
5.571 0.000 0.000
0.000 4.175 0.000
0.000 0.000 5.571
I Zr Na O
1 2 1 1
Cartesian
0.000 0.000 0.000 I
2.786 0.000 0.000 Zr
0.000 0.000 2.786 Zr
2.786 2.087 2.786 Na
0.000 2.087 0.000 O
```

Summary:
- Symmetry: P4/mmm (123)
- Crystal system: tetragonal

=====

B | # NaZr2IO

An optimized crystal structure of NaZr2IO (PBE-GGA, Alexandria).

```
NaZr2IO
1.0
-3.230 -3.071 -2.839
0.326 -3.869 3.815
-4.170 2.094 2.479
O I Zr Na
1 1 2 1
Cartesian
-3.537 -2.423 1.727 O
0.000 0.000 0.000 I
-2.085 1.047 1.240 Zr
-1.615 -1.536 -1.419 Zr
0.163 -1.934 1.907 Na
```

Summary:
- Symmetry: P4/mmm (123)
- Crystal system: tetragonal

=====

Stability check: which of them is most stable? A.

=====

A | # Na2OsI

An optimized crystal structure of Na2OsI (PBE-GGA, Alexandria).

```
Na2OsI
1.0
-3.492 -7.308 2.755
4.720 -4.379 -5.634
2.605 -6.093 0.422
Na Os I
4 2 2
Cartesian
-1.007 -6.776 1.175 Na
2.325 -8.870 -0.657 Na
3.117 -14.879 -2.309 Na
3.230 -5.036 -3.123 Na
-0.137 -9.623 0.869 Os
0.000 0.000 0.000 Os
0.614 -5.844 -1.440 I
3.969 -8.158 -3.326 I
```

Summary:
- Symmetry: I-42d (122)
- Crystal system: tetragonal

=====

B | # Na2OsI

An optimized crystal structure of Na2OsI (PBE-GGA, Alexandria).

```
Na2OsI
1.0
0.000 3.788 3.788
3.788 0.000 3.788
3.788 3.788 0.000
Os Na I
1 2 1
Cartesian
3.788 3.788 3.788 Os
5.682 5.682 5.682 Na
1.894 1.894 1.894 Na
0.000 0.000 0.000 I
```

Summary:
- Symmetry: Fm-3m (225)
- Crystal system: cubic

=====

Stability check: which of them is most stable? A.

=====

A | # NaOs3I

An optimized crystal structure of NaOs3I (PBE-GGA, Alexandria).

```
NaOs3I
1.0
4.865 0.000 0.000
0.000 4.865 0.000
0.000 0.000 4.865
Na Os I
1 3 1
Cartesian
2.432 2.432 2.432 Na
0.000 0.000 2.432 Os
2.432 0.000 0.000 Os
0.000 2.432 0.000 Os
0.000 0.000 0.000 I
```

Summary:
- Symmetry: Pm-3m (221)
- Crystal system: cubic

=====

B | # NaOs3I

An optimized crystal structure of NaOs3I (PBE-GGA, Alexandria).

```
NaOs3I
1.0
-3.307 3.151 -0.148
-2.271 -2.230 3.280
2.189 2.447 3.179
Os Na I
3 1 1
Cartesian
-1.654 1.575 -0.074 Os
1.095 1.224 1.590 Os
-1.135 -1.115 1.640 Os
0.000 0.000 0.000 Na
-1.694 1.684 3.156 I
```

Summary:
- Symmetry: Pm-3m (221)
- Crystal system: cubic

=====

Stability check: which of them is most stable? A.

=====

A | # NaOsI2

An optimized crystal structure of NaOsI2 (PBE-GGA, Alexandria).

```
NaOsI2
1.0
6.538 0.000 0.000
0.000 6.538 0.000
3.269 3.269 6.504
Os I Na
2 4 2
Cartesian
6.538 3.269 3.252 Os
0.000 0.000 0.000 Os
8.172 8.598 4.878 I
1.209 4.903 1.626 I
4.903 4.478 4.878 I
5.329 1.634 1.626 I
3.269 6.538 3.252 Na
3.269 3.269 0.000 Na
```

Summary:
- Symmetry: I-42d (122)
- Crystal system: tetragonal

=====

B | # NaOsI2

An optimized crystal structure of NaOsI2 (PBE-GGA, Alexandria).

```
NaOsI2
1.0
-4.911 -1.244 -0.270
-3.282 3.109 -2.303
-2.042 -1.315 -4.454
I Na Os
2 1 1
Cartesian
-7.676 0.412 -5.271 I
-2.559 0.137 -1.757 I
0.000 0.000 0.000 Na
-5.117 0.275 -3.514 Os
```

Summary:
- Symmetry: Fm-3m (225)
- Crystal system: cubic

=====

Stability check: which of them is most stable? A.